K3H3Pd | PBE | relaxed

E above lowest polymorph, meV per atom: 0
ρ, Mg/m³: 2.52

```
data_K3H3Pd
_chemical_formula_sum 'K24 H24 Pd8'
_space_group_name_H-M_alt 'P 42/m n m'
_space_group_IT_number 136
_space_group_name_Hall '-P 4n 2n'
_cell_length_a 10.7799
_cell_length_b 10.7799
_cell_length_c 10.2717
_cell_angle_alpha 90.00
_cell_angle_beta 90.00
_cell_angle_gamma 90.00
loop_
_atom_site_label
_atom_site_type_symbol
_atom_site_fract_x
_atom_site_fract_y
_atom_site_fract_z
K1 K 0.0040 0.2507 0.2118
K2 K 0.2067 0.2067 0.5000
K3 K 0.2076 0.7924 0.5000
H1 H 0.0000 0.0000 0.3350
H2 H 0.0001 0.3439 0.5000
H3 H 0.1109 0.1109 0.0000
H4 H 0.2449 0.7551 0.2447
Pd1 Pd 0.0000 0.0000 0.0000
Pd2 Pd 0.0000 0.0000 0.5000
Pd3 Pd 0.0000 0.5000 0.0000
```

K5H6Pd | PBE | relaxed

ρ, Mg/m³: 2.19

```
data_K5H6Pd
_chemical_formula_sum 'K10 H12 Pd2'
_space_group_name_H-M_alt 'C 1 2/m 1'
_space_group_IT_number 12
_space_group_name_Hall '-C 2y'
_cell_length_a 6.5541
_cell_length_b 11.6220
_cell_length_c 6.4584
_cell_angle_alpha 90.00
_cell_angle_beta 107.92
_cell_angle_gamma 90.00
loop_
_atom_site_label
_atom_site_type_symbol
_atom_site_fract_x
_atom_site_fract_y
_atom_site_fract_z
K1 K 0.0000 0.0000 0.0000
K2 K 0.0000 0.1797 0.5000
K3 K 0.0000 0.3412 0.0000
H1 H 0.1698 0.5000 0.3399
H2 H 0.2400 0.1624 0.2377
Pd1 Pd 0.0000 0.5000 0.5000
```

K2H3Pd2 | PBE | relaxed

E above lowest polymorph, meV per atom: 14
ρ, Mg/m³: 4.32

```
data_K2H3Pd2
_chemical_formula_sum 'K2 H3 Pd2'
_space_group_name_H-M_alt 'P -1'
_space_group_IT_number 2
_space_group_name_Hall '-P 1'
_cell_length_a 2.9698
_cell_length_b 6.1108
_cell_length_c 6.4169
_cell_angle_alpha 80.95
_cell_angle_beta 79.81
_cell_angle_gamma 86.17
loop_
_atom_site_label
_atom_site_type_symbol
_atom_site_fract_x
_atom_site_fract_y
_atom_site_fract_z
K1 K 0.1816 0.2056 0.2102
H1 H 0.0000 0.5000 0.5000
H2 H 0.1854 0.7762 0.1838
Pd1 Pd 0.3463 0.3293 0.6770
```

K3H6Pd | PBE | relaxed

ρ, Mg/m³: 2.47

```
data_K3H6Pd
_chemical_formula_sum 'K6 H12 Pd2'
_space_group_name_H-M_alt 'P 1 21/c 1'
_space_group_IT_number 14
_space_group_name_Hall '-P 2ybc'
_cell_length_a 6.0307
_cell_length_b 6.0314
_cell_length_c 10.4308
_cell_angle_alpha 90.00
_cell_angle_beta 125.33
_cell_angle_gamma 90.00
loop_
_atom_site_label
_atom_site_type_symbol
_atom_site_fract_x
_atom_site_fract_y
_atom_site_fract_z
K1 K 0.0000 0.0000 0.0000
K2 K 0.2500 0.0013 0.7500
H1 H 0.2972 0.5068 0.8004
H2 H 0.2977 0.1996 0.4982
H3 H 0.3054 0.7004 0.0050
Pd1 Pd 0.5000 0.0000 0.5000
```

| no. | total magnetic moment (Bohr magnetons per cell) | E (eV/cell) |
| --- | --- | --- |
| 1 | 0.0 | -161.8 |
| 2 | 1.7 | -62.7 |
| 3 | 0.0 | -23.9 |
| 4 | 0.0 | -60.5 |